[1]
## HfMgP2S (PBE-GGA)

Data for crystalline HfMgP2S at its relaxed geometry.

Properties
For the energy relative to the elements, uncorrected, the calculation gives 508 meV per atom. The energy relative to the lowest polymorph listed for this composition is 0.605 eV per atom. For the spin magnetization, the calculation gives 0.0 μB/f.u. As for the total energy: -23.957 eV per cell.

Cell lengths 4.6240, 4.6240, 4.7040 Å; angles 90.00, 90.00, 90.00 degrees
With the nearest neighbours (Å) after each atom.
Atoms (fractional coordinates):
P (0.0000, 0.5000, 0.0000)  2 Mg 2.31
P (0.5000, 0.0000, 0.0000)  2 Mg 2.31
S (0.0000, 0.0000, 0.5000)  2 Mg 2.35
Mg (0.0000, 0.0000, 0.0000)  4 P 2.31, 2 S 2.35
Hf (0.5000, 0.5000, 0.5000)  4 S 3.27, 8 P 3.30



[2]
## Pm4MgSe5 (PBE-GGA)

Data for crystalline Pm4MgSe5 at its relaxed geometry.

Properties
For the energy relative to the elements, uncorrected, the calculation gives -1691 meV per atom. The energy relative to the lowest polymorph listed for this composition is 0.000 eV per atom. For the spin magnetization, the calculation gives 0.0 μB/f.u. As for the total energy: -54.933 eV per cell.

Cell lengths 4.1126, 4.1126, 17.4257 Å; angles 83.22, 83.22, 60.00 degrees
With the nearest neighbours (Å) after each atom.
Atoms (fractional coordinates):
Pm (0.7020, 0.7020, 0.8941)  6 Se 2.92-3.00
Pm (0.1002, 0.1002, 0.6995)  6 Se 2.90-3.06
Pm (0.8998, 0.8998, 0.3005)  6 Se 2.90-3.06
Pm (0.2980, 0.2980, 0.1059)  6 Se 2.92-3.00
Se (0.8042, 0.8042, 0.5875)  3 Mg 2.81, 3 Pm 3.06
Se (0.1958, 0.1958, 0.4125)  3 Mg 2.81, 3 Pm 3.06
Se (0.0000, 0.0000, 0.0000)  6 Pm 3.00
Se (0.4014, 0.4014, 0.7959)  6 Pm 2.90-2.92
Se (0.5986, 0.5986, 0.2041)  6 Pm 2.90-2.92
Mg (0.5000, 0.5000, 0.5000)  6 Se 2.81



[3]
## YOsCl2 (PBE-GGA)

Data for crystalline YOsCl2 at its relaxed geometry.

Properties
For the energy relative to the elements, uncorrected, the calculation gives -196 meV per atom. The energy relative to the lowest polymorph listed for this composition is 0.379 eV per atom. For the spin magnetization, the calculation gives 1.0 μB/f.u. As for the total energy: -44.341 eV per cell.

Cell lengths 4.4075, 4.4075, 8.9450 Å; angles 75.74, 75.74, 90.00 degrees
With the nearest neighbours (Å) after each atom.
Atoms (fractional coordinates):
Cl (0.3750, 0.3444, 0.7500)  2 Os 2.56, 2 Y 2.67
Cl (0.0944, 0.6250, 0.2500)  2 Os 2.56, 2 Y 2.67
Cl (0.8750, 0.9056, 0.7500)  2 Os 2.56, 2 Y 2.67
Cl (0.6556, 0.1250, 0.2500)  2 Os 2.56, 2 Y 2.67
Y (0.5000, 0.5000, 0.0000)  4 Cl 2.67
Y (0.2500, 0.7500, 0.5000)  4 Cl 2.67
Os (0.0000, 0.0000, 0.0000)  4 Cl 2.56
Os (0.7500, 0.2500, 0.5000)  4 Cl 2.56



[4]
## TcPt2Rh4 (PBE-GGA)

Data for crystalline TcPt2Rh4 at its relaxed geometry.

Properties
The energy relative to the lowest polymorph listed for this composition is 0.000 eV per atom. For the spin magnetization, the calculation gives 0.0 μB/f.u. As for the total energy: -100.977 eV per cell.

Cell lengths 2.7211, 8.7647, 9.2274 Å; angles 90.00, 90.00, 98.93 degrees
With the nearest neighbours (Å) after each atom.
Atoms (fractional coordinates):
Rh (0.2366, 0.4731, 0.8841)  5 Rh 2.48-2.72, 3 Pt 2.67-2.72, 2 Tc 2.69
Rh (0.2366, 0.4731, 0.6159)  5 Rh 2.48-2.72, 3 Pt 2.67-2.72, 2 Tc 2.69
Rh (0.7634, 0.5269, 0.1159)  5 Rh 2.48-2.72, 3 Pt 2.67-2.72, 2 Tc 2.69
Rh (0.7634, 0.5269, 0.3841)  5 Rh 2.48-2.72, 3 Pt 2.67-2.72, 2 Tc 2.69
Rh (0.5000, 0.0000, 0.0000)  6 Rh 2.68-2.72, 4 Pt 2.73
Rh (0.5000, 0.0000, 0.5000)  6 Rh 2.68-2.72, 4 Pt 2.73
Rh (0.0013, 0.0025, 0.2500)  2 Tc 2.55, 2 Pt 2.65, 6 Rh 2.68-2.72
Rh (0.9987, 0.9975, 0.7500)  2 Tc 2.55, 2 Pt 2.65, 6 Rh 2.68-2.72
Tc (0.3764, 0.7528, 0.2500)  6 Rh 2.55-2.69, 2 Tc 2.72
Tc (0.6236, 0.2472, 0.7500)  6 Rh 2.55-2.69, 2 Tc 2.72
Pt (0.1279, 0.2558, 0.0888)  6 Rh 2.65-2.73, 2 Pt 2.72
Pt (0.8721, 0.7442, 0.9112)  6 Rh 2.65-2.73, 2 Pt 2.72
Pt (0.8721, 0.7442, 0.5888)  6 Rh 2.65-2.73, 2 Pt 2.72
Pt (0.1279, 0.2558, 0.4112)  6 Rh 2.65-2.73, 2 Pt 2.72



[5]
## TlMo6Se4S4 (PBE-GGA)

Data for crystalline TlMo6Se4S4 at its relaxed geometry.

Properties
For the energy relative to the elements, uncorrected, the calculation gives -590 meV per atom. For the spin magnetization, the calculation gives 0.0 μB/f.u. As for the total energy: -106.654 eV per cell.

Cell lengths 6.8332, 6.7728, 6.8434 Å; angles 91.72, 90.53, 90.49 degrees
With the nearest neighbours (Å) after each atom.
Atoms (fractional coordinates):
Mo (0.5626, 0.2319, 0.5832)  3 S 2.38-2.65, 2 Se 2.60-2.65
Mo (0.4454, 0.7639, 0.4163)  2 S 2.38-2.47, 2 Se 2.57-2.61, 1 Mo 2.66
Mo (0.7664, 0.5877, 0.5640)  3 S 2.39-2.48, 1 Se 2.58, 1 Mo 2.66
Mo (0.4206, 0.5602, 0.7558)  2 S 2.45-2.50, 3 Se 2.60-2.74, 3 Mo 2.67-2.72
Mo (0.5866, 0.4380, 0.2465)  2 S 2.43-2.49, 2 Se 2.59-2.65, 2 Mo 2.66
Mo (0.2299, 0.4114, 0.4423)  2 S 2.38-2.62, 3 Se 2.59-2.62
Se (0.7457, 0.3941, 0.8830)  4 Mo 2.58-2.73
Se (0.1245, 0.7468, 0.6096)  4 Mo 2.57-2.68
Se (0.2584, 0.5992, 0.1188)  4 Mo 2.59-2.74
Se (0.3841, 0.1135, 0.2542)  4 Mo 2.59-2.68
S (0.2533, 0.2389, 0.7390)  3 Mo 2.38-2.45
S (0.8715, 0.2751, 0.4013)  4 Mo 2.48-2.62
S (0.7558, 0.7548, 0.2617)  3 Mo 2.38-2.43
S (0.6093, 0.8755, 0.7243)  4 Mo 2.47-2.65
Tl (0.9859, 0.0090, 0.9999)  3 S 2.97-3.28, 3 Se 3.21-3.31



[6]
## Zr2ScIn2 (PBE-GGA)

Data for crystalline Zr2ScIn2 at its relaxed geometry.

Properties
The energy relative to the lowest polymorph listed for this composition is 0.471 eV per atom. For the spin magnetization, the calculation gives 1.0 μB/f.u. As for the total energy: -27.625 eV per cell.

Cell lengths 4.2931, 4.2931, 7.5307 Å; angles 73.44, 73.44, 90.00 degrees
With the nearest neighbours (Å) after each atom.
Atoms (fractional coordinates):
In (0.2500, 0.7500, 0.5000)  4 Zr 3.02, 4 In 3.04
In (0.7500, 0.2500, 0.5000)  4 Zr 3.02, 4 In 3.04
Zr (0.5956, 0.5956, 0.8088)  1 Zr 2.63
Zr (0.4044, 0.4044, 0.1912)  1 Zr 2.63
Sc (0.0000, 0.0000, 0.0000)  8 Zr 3.31



[7]
## LaCd4As (PBE-GGA)

Data for crystalline LaCd4As at its relaxed geometry.

Properties
For the spin magnetization, the calculation gives 0.0 μB/f.u. As for the total energy: -13.840 eV per cell.

Cell lengths 5.9568, 5.9568, 5.9568 Å; angles 60.00, 60.00, 60.00 degrees
With the nearest neighbours (Å) after each atom.
Atoms (fractional coordinates):
La (0.7500, 0.7500, 0.7500)  12 Cd 3.49, 4 As 3.65
As (0.0000, 0.0000, 0.0000)  12 Cd 3.49, 4 La 3.65
Cd (0.3744, 0.3744, 0.3744)  6 Cd 2.96-2.99
Cd (0.3744, 0.3744, 0.8769)  6 Cd 2.96-2.99
Cd (0.8769, 0.3744, 0.3744)  6 Cd 2.96-2.99
Cd (0.3744, 0.8769, 0.3744)  6 Cd 2.96-2.99



[8]
## Sr3As2O8 (PBE-GGA)

Data for crystalline Sr3As2O8 at its relaxed geometry.

Properties
For the energy relative to the elements, uncorrected, the calculation gives -2243 meV per atom. The energy relative to the lowest polymorph listed for this composition is 0.030 eV per atom. For the spin magnetization, the calculation gives 0.0 μB/f.u. As for the total energy: -166.345 eV per cell.

Cell lengths 10.3203, 5.9284, 10.3833 Å; angles 56.30, 90.00, 90.00 degrees
With the nearest neighbours (Å) after each atom.
Atoms (fractional coordinates):
O (0.0863, 0.6616, 0.8650)  1 As 1.73
O (0.3478, 0.6928, 0.7669)  1 As 1.73
O (0.8160, 0.8425, 0.3742)  1 As 1.72
O (0.5863, 0.3384, 0.6350)  1 As 1.73
O (0.4137, 0.6616, 0.3650)  1 As 1.73
O (0.6491, 0.2720, 0.9180)  1 As 1.72
O (0.6522, 0.3073, 0.2331)  1 As 1.73
O (0.1522, 0.6928, 0.2669)  1 As 1.73
O (0.6840, 0.8425, 0.8742)  1 As 1.72
O (0.1491, 0.7280, 0.5820)  1 As 1.72
O (0.8478, 0.3073, 0.7331)  1 As 1.73
O (0.3509, 0.7280, 0.0820)  1 As 1.72
O (0.3160, 0.1575, 0.1258)  1 As 1.72
O (0.1840, 0.1575, 0.6258)  1 As 1.72
O (0.8509, 0.2720, 0.4180)  1 As 1.72
O (0.9137, 0.3384, 0.1350)  1 As 1.73
As (0.1918, 0.8139, 0.7101)  4 O 1.72-1.73
As (0.3082, 0.8139, 0.2101)  4 O 1.72-1.73
As (0.6918, 0.1861, 0.7899)  4 O 1.72-1.73
As (0.8082, 0.1861, 0.2899)  4 O 1.72-1.73
Sr (0.6452, 0.5694, 0.3626)  5 O 2.44-2.61
Sr (0.3548, 0.4306, 0.6374)  5 O 2.44-2.61
Sr (0.1452, 0.4306, 0.1374)  5 O 2.44-2.61
Sr (0.8548, 0.5694, 0.8626)  5 O 2.44-2.61
Sr (0.5000, 0.5000, 0.0000)  6 O 2.49-2.56
Sr (0.0000, 0.5000, 0.5000)  6 O 2.49-2.56